Record 1
An optimized crystal structure of MgPa2Ge3Pt4. Source: Alexandria via LeMat-Bulk, functional PBE.

## Properties
- Density: 13.04 g cm⁻³
- Energy of formation from the pure elements: -7.3 eV per formula unit
- Raw total energy: -6.5897 eV per atom
- Symmetry: P-4m2 (115)
- DOS(E_F): 0.937 states/eV/atom

extended XYZ file:
```
10
Lattice="-3.641 1.874 -0.575 -1.941 -3.614 0.514 -0.721 1.932 10.859" Properties=species:S:1:pos:R:3 pbc="T T T"
Ge -0.361 0.966 5.430
Ge -1.066 -1.553 1.684
Ge -2.447 2.615 9.144
Pt 0.000 0.000 0.000
Pt -2.289 2.192 6.766
Pt -2.791 -0.870 -0.030
Pt -1.223 -1.130 4.062
Pa -1.994 1.401 2.322
Pa -1.519 -0.339 8.507
Mg -3.152 0.096 5.399
```

Record 2
An optimized crystal structure of MgPaGePt. Source: Alexandria via LeMat-Bulk, functional PBE.

## Properties
- Density: 10.81 g cm⁻³
- Energy of formation from the pure elements: -2.4 eV per formula unit
- Raw total energy: -6.0268 eV per atom
- Symmetry: F-43m (216)
- DOS(E_F): 0.995 states/eV/atom

extended XYZ file:
```
4
Lattice="4.843 0.000 0.000 2.422 4.194 0.000 2.422 1.398 3.955" Properties=species:S:1:pos:R:3 pbc="T T T"
Pt 7.265 4.194 2.966
Pa 0.000 0.000 0.000
Mg 4.843 2.796 1.977
Ge 2.422 1.398 0.989
```

Record 3
An optimized crystal structure of MgPa2Ge4Rh3. Source: Alexandria via LeMat-Bulk, functional PBE.

## Properties
- Density: 9.84 g cm⁻³
- Energy of formation from the pure elements: -6.2 eV per formula unit
- Raw total energy: -6.7351 eV per atom
- Symmetry: P-4m2 (115)
- DOS(E_F): 0.611 states/eV/atom

extended XYZ file:
```
10
Lattice="-1.356 -2.257 3.167 -0.418 -3.250 -2.495 10.134 -2.996 2.205" Properties=species:S:1:pos:R:3 pbc="T T T"
Ge 3.383 -2.687 -0.466
Ge -0.887 -2.754 0.336
Ge 0.000 0.000 0.000
Ge 5.864 -3.063 3.007
Mg 4.180 -4.252 1.438
Pa 7.498 -3.904 0.429
Pa 1.749 -1.846 2.112
Rh 5.067 -1.498 1.102
Rh 1.116 -2.017 -0.959
Rh 8.131 -3.733 3.500
```

Record 4
An optimized crystal structure of MgPa2Ge3Rh4. Source: Alexandria via LeMat-Bulk, functional PBE.

## Properties
- Density: 10.26 g cm⁻³
- Energy of formation from the pure elements: -7.1 eV per formula unit
- Raw total energy: -7.0953 eV per atom
- Symmetry: P-4m2 (115)
- DOS(E_F): 1.047 states/eV/atom

extended XYZ file:
```
10
Lattice="-1.317 3.788 0.109 -3.637 -1.230 -1.165 -2.981 -1.345 10.728" Properties=species:S:1:pos:R:3 pbc="T T T"
Rh 0.000 0.000 0.000
Rh -2.620 1.009 7.114
Rh -2.838 -1.075 3.086
Rh -2.477 1.279 -0.528
Mg -3.967 0.606 4.836
Ge -2.195 -0.785 0.772
Ge -3.263 0.719 9.428
Ge -1.491 -0.673 5.364
Pa -4.077 -1.634 7.546
Pa -1.381 1.568 2.654
```

Record 5
An optimized crystal structure of MgPaGeRh. Source: Alexandria via LeMat-Bulk, functional PBE.

## Properties
- Density: 9.21 g cm⁻³
- Energy of formation from the pure elements: -1.7 eV per formula unit
- Raw total energy: -6.1834 eV per atom
- Symmetry: F-43m (216)
- DOS(E_F): 0.855 states/eV/atom

extended XYZ file:
```
4
Lattice="-2.347 0.562 -4.137 -3.868 -2.664 -0.940 -4.345 2.015 -0.034" Properties=species:S:1:pos:R:3 pbc="T T T"
Rh -5.280 -0.044 -2.555
Ge 0.000 0.000 0.000
Mg -2.640 -0.022 -1.278
Pa -7.921 -0.066 -3.833
```

Record 6
An optimized crystal structure of MgPa2Ge2Ru5. Source: Alexandria via LeMat-Bulk, functional PBE.

## Properties
- Density: 10.87 g cm⁻³
- Energy of formation from the pure elements: -3.8 eV per formula unit
- Raw total energy: -8.0032 eV per atom
- Symmetry: P4/mbm (127)
- DOS(E_F): 0.550 states/eV/atom

extended XYZ file:
```
20
Lattice="3.539 0.000 0.000 0.000 9.905 0.000 0.000 0.000 9.905" Properties=species:S:1:pos:R:3 pbc="T T T"
Ge 0.000 6.172 8.686
Ge 0.000 3.733 1.220
Ge 0.000 8.686 3.733
Ge 0.000 1.220 6.172
Ru 1.770 4.147 2.900
Ru 1.770 2.053 0.805
Ru 1.770 0.805 7.852
Ru 1.770 5.758 7.006
Ru 1.770 7.852 9.100
Ru 1.770 2.900 5.758
Ru 1.770 4.953 0.000
Ru 1.770 9.100 2.053
Ru 1.770 7.006 4.147
Ru 1.770 0.000 4.953
Pa 0.000 8.158 6.700
Pa 0.000 3.205 8.158
Pa 0.000 1.747 3.205
Pa 0.000 6.700 1.747
Mg 0.000 0.000 0.000
Mg 0.000 4.953 4.953
```

Record 7
An optimized crystal structure of MgPaSiGe. Source: Alexandria via LeMat-Bulk, functional PBE.

## Properties
- Density: 7.41 g cm⁻³
- Raw total energy: -5.4772 eV per atom
- Symmetry: F-43m (216)
- DOS(E_F): 0.676 states/eV/atom

extended XYZ file:
```
4
Lattice="4.832 0.000 0.000 2.416 4.185 0.000 2.416 1.395 3.945" Properties=species:S:1:pos:R:3 pbc="T T T"
Pa 2.416 1.395 0.986
Mg 7.248 4.185 2.959
Si 4.832 2.790 1.973
Ge 0.000 0.000 0.000
```

Record 8
An optimized crystal structure of MgPaSnGe. Source: Alexandria via LeMat-Bulk, functional PBE.

## Properties
- Density: 8.08 g cm⁻³
- Energy of formation from the pure elements: -0.4 eV per formula unit
- Raw total energy: -5.0318 eV per atom
- Symmetry: F-43m (216)
- DOS(E_F): 0.758 states/eV/atom

extended XYZ file:
```
4
Lattice="-3.503 -0.940 -3.534 0.188 -4.298 -2.672 -3.465 -3.612 0.768" Properties=species:S:1:pos:R:3 pbc="T T T"
Mg -1.695 -2.213 -1.359
Sn -3.390 -4.425 -2.719
Ge 0.000 0.000 0.000
Pa -5.084 -6.638 -4.078
```

Record 9
An optimized crystal structure of MgPaTcGe. Source: Alexandria via LeMat-Bulk, functional PBE.

## Properties
- Density: 9.20 g cm⁻³
- Energy of formation from the pure elements: -0.1 eV per formula unit
- Raw total energy: -6.5445 eV per atom
- Symmetry: F-43m (216)
- DOS(E_F): 0.612 states/eV/atom

extended XYZ file:
```
4
Lattice="4.772 0.000 0.000 2.386 4.133 0.000 2.386 1.378 3.897" Properties=species:S:1:pos:R:3 pbc="T T T"
Ge 2.386 1.378 0.974
Mg 4.772 2.755 1.948
Tc 7.159 4.133 2.922
Pa 0.000 0.000 0.000
```

Record 10
An optimized crystal structure of MgGePb2. Source: Alexandria via LeMat-Bulk, functional PBE.

## Properties
- Density: 8.16 g cm⁻³
- Energy of formation from the pure elements: 0.4 eV per formula unit
- Raw total energy: -3.3121 eV per atom
- Symmetry: P4/mmm (123)
- DOS(E_F): 0.570 states/eV/atom

extended XYZ file:
```
4
Lattice="-2.943 1.811 -2.793 0.518 -3.769 -2.990 -3.588 -2.306 2.286" Properties=species:S:1:pos:R:3 pbc="T T T"
Ge -3.007 -2.132 -1.749
Pb 0.259 -1.885 -1.495
Pb -1.794 -1.153 1.143
Mg -1.472 0.906 -1.397
```

Record 11
An optimized crystal structure of Mg2GePb. Source: Alexandria via LeMat-Bulk, functional PBE.

## Properties
- Density: 5.95 g cm⁻³
- Energy of formation from the pure elements: -0.1 eV per formula unit
- Raw total energy: -2.9056 eV per atom
- Symmetry: P4/mmm (123)
- DOS(E_F): 0.297 states/eV/atom

extended XYZ file:
```
4
Lattice="4.282 0.000 0.000 0.000 4.626 0.000 0.000 0.000 4.626" Properties=species:S:1:pos:R:3 pbc="T T T"
Pb 2.141 2.313 2.313
Mg 0.000 0.000 2.313
Mg 0.000 2.313 0.000
Ge 2.141 0.000 0.000
```

Record 12
An optimized crystal structure of Mg2GePb. Source: Alexandria via LeMat-Bulk, functional PBE.

## Properties
- Density: 5.85 g cm⁻³
- Energy of formation from the pure elements: -0.2 eV per formula unit
- Raw total energy: -2.9268 eV per atom
- Symmetry: R-3m (166)
- DOS(E_F): 0.398 states/eV/atom

extended XYZ file:
```
4
Lattice="-0.021 -2.125 -2.720 0.800 -3.333 0.407 -8.435 -3.718 0.779" Properties=species:S:1:pos:R:3 pbc="T T T"
Mg -1.729 -2.253 -0.417
Mg -5.927 -6.922 -1.118
Ge 0.000 0.000 0.000
Pb -3.828 -4.588 -0.767
```

Record 13
An optimized crystal structure of MgGePb2. Source: Alexandria via LeMat-Bulk, functional PBE.

## Properties
- Density: 8.14 g cm⁻³
- Energy of formation from the pure elements: 0.5 eV per formula unit
- Raw total energy: -3.2946 eV per atom
- Symmetry: P4/mmm (123)
- DOS(E_F): 0.449 states/eV/atom

extended XYZ file:
```
4
Lattice="-3.392 1.293 0.069 -0.596 -1.388 -3.302 -2.504 -6.743 3.288" Properties=species:S:1:pos:R:3 pbc="T T T"
Ge -3.246 -3.419 0.027
Mg -1.994 -0.048 -1.616
Pb -0.654 -1.761 0.859
Pb -1.850 -4.982 2.429
```

Record 14
An optimized crystal structure of MgGePb3. Source: Alexandria via LeMat-Bulk, functional PBE.

## Properties
- Density: 7.26 g cm⁻³
- Energy of formation from the pure elements: 2.9 eV per formula unit
- Raw total energy: -2.8844 eV per atom
- Symmetry: Pm-3m (221)
- DOS(E_F): 0.894 states/eV/atom

extended XYZ file:
```
5
Lattice="-1.178 5.341 0.285 -2.132 -0.736 4.991 4.906 0.963 2.237" Properties=species:S:1:pos:R:3 pbc="T T T"
Pb -1.066 -0.368 2.495
Pb 2.453 0.481 1.119
Pb -0.589 2.671 0.142
Ge 0.798 2.784 3.756
Mg 0.000 0.000 0.000
```

Record 15
An optimized crystal structure of Mg3GePb. Source: Alexandria via LeMat-Bulk, functional PBE.

## Properties
- Density: 3.82 g cm⁻³
- Energy of formation from the pure elements: 2.8 eV per formula unit
- Raw total energy: -2.0575 eV per atom
- Symmetry: Pm-3m (221)
- DOS(E_F): 0.828 states/eV/atom
- Offset from the most stable computed form: 480 meV per atom

extended XYZ file:
```
5
Lattice="5.354 0.000 0.000 0.000 5.354 0.000 0.000 0.000 5.354" Properties=species:S:1:pos:R:3 pbc="T T T"
Ge 2.677 2.677 2.677
Pb 0.000 0.000 0.000
Mg 2.677 0.000 0.000
Mg 0.000 0.000 2.677
Mg 0.000 2.677 0.000
```

Record 16
An optimized crystal structure of Mg2GePb. Source: Alexandria via LeMat-Bulk, functional PBE.

## Properties
- Density: 5.94 g cm⁻³
- Energy of formation from the pure elements: -0.3 eV per formula unit
- Raw total energy: -2.9431 eV per atom
- Symmetry: P4/mmm (123)
- DOS(E_F): 0.391 states/eV/atom

extended XYZ file:
```
4
Lattice="-3.203 -0.693 0.806 0.867 -0.222 3.254 -1.469 7.874 0.929" Properties=species:S:1:pos:R:3 pbc="T T T"
Ge -1.168 -0.457 2.030
Mg -1.152 6.177 0.729
Mg -0.316 1.696 0.200
Pb -1.903 3.479 2.495
```

Record 17
An optimized crystal structure of MgGePb2. Source: Alexandria via LeMat-Bulk, functional PBE.

## Properties
- Density: 6.10 g cm⁻³
- Energy of formation from the pure elements: 1.3 eV per formula unit
- Raw total energy: -3.0826 eV per atom
- Symmetry: I-42d (122)
- DOS(E_F): 0.441 states/eV/atom

extended XYZ file:
```
8
Lattice="-5.729 3.948 -1.259 -1.607 -4.097 -5.534 -6.675 -3.380 -0.076" Properties=species:S:1:pos:R:3 pbc="T T T"
Ge 0.000 0.000 0.000
Ge -8.036 0.247 -2.366
Pb -7.722 -2.502 -2.484
Pb -3.265 -2.998 -3.608
Pb -5.575 1.196 -1.525
Pb -11.460 -2.754 -6.122
Mg -3.668 -0.075 -3.396
Mg -5.975 -3.776 -4.504
```

Record 18
An optimized crystal structure of Mg2GePb. Source: Alexandria via LeMat-Bulk, functional PBE.

## Properties
- Density: 5.46 g cm⁻³
- Energy of formation from the pure elements: 0.5 eV per formula unit
- Raw total energy: -2.7591 eV per atom
- Symmetry: I-42d (122)
- DOS(E_F): 0.762 states/eV/atom

extended XYZ file:
```
8
Lattice="-0.255 -3.463 -7.290 4.039 -6.370 2.884 -0.760 -6.265 -1.469" Properties=species:S:1:pos:R:3 pbc="T T T"
Ge 2.585 -8.775 -0.394
Ge 1.892 -4.916 -2.203
Mg 1.039 -8.686 -2.619
Mg 2.550 -13.003 -5.093
Mg 0.167 -4.364 -4.220
Mg 2.290 -6.143 0.181
Pb 0.438 -7.322 -5.481
Pb 0.000 0.000 0.000
```

Record 19
An optimized crystal structure of MgGePb2. Source: Alexandria via LeMat-Bulk, functional PBE.

## Properties
- Density: 7.52 g cm⁻³
- Energy of formation from the pure elements: 0.9 eV per formula unit
- Raw total energy: -3.1905 eV per atom
- Symmetry: R-3m (166)
- DOS(E_F): 0.550 states/eV/atom

extended XYZ file:
```
4
Lattice="3.392 0.000 0.000 1.696 2.937 0.000 1.696 0.979 11.340" Properties=species:S:1:pos:R:3 pbc="T T T"
Pb 1.696 0.979 8.196
Pb 5.087 2.937 3.143
Ge 3.392 1.958 5.670
Mg 0.000 0.000 0.000
```

Record 20
An optimized crystal structure of Mg3GePb. Source: Alexandria via LeMat-Bulk, functional PBE.

## Properties
- Density: 4.44 g cm⁻³
- Energy of formation from the pure elements: 0.4 eV per formula unit
- Raw total energy: -2.5378 eV per atom
- Symmetry: Pm-3m (221)
- DOS(E_F): 0.605 states/eV/atom
- Offset from the most stable computed form: 0 meV per atom

extended XYZ file:
```
5
Lattice="5.092 0.000 0.000 0.000 5.092 0.000 0.000 0.000 5.092" Properties=species:S:1:pos:R:3 pbc="T T T"
Mg 0.000 2.546 0.000
Mg 0.000 0.000 2.546
Mg 2.546 0.000 0.000
Pb 2.546 2.546 2.546
Ge 0.000 0.000 0.000
```

Record 21
An optimized crystal structure of Mg8GePb2. Source: Alexandria via LeMat-Bulk, functional PBE.

## Properties
- Density: 4.42 g cm⁻³
- Energy of formation from the pure elements: -0.4 eV per formula unit
- Raw total energy: -2.2943 eV per atom
- Symmetry: C2/m (12)
- DOS(E_F): 0.407 states/eV/atom

extended XYZ file:
```
11
Lattice="4.585 0.000 0.000 0.000 7.128 0.390 -2.292 -2.494 7.698" Properties=species:S:1:pos:R:3 pbc="T T T"
Mg 0.000 -1.004 5.085
Mg 2.292 2.688 1.509
Mg 0.000 1.946 6.578
Mg 2.292 4.061 5.943
Mg 2.292 5.638 3.002
Mg 0.000 0.574 2.144
Mg 0.000 5.028 0.879
Mg 2.292 -0.394 7.208
Ge 2.292 0.000 0.000
Pb 2.292 1.068 4.442
Pb 0.000 3.567 3.645
```

Record 22
An optimized crystal structure of Mg5Ge3Pb12. Source: Alexandria via LeMat-Bulk, functional PBE.

## Properties
- Density: 6.96 g cm⁻³
- Energy of formation from the pure elements: 5.0 eV per formula unit
- Raw total energy: -3.0671 eV per atom
- Symmetry: Ia-3d (230)
- DOS(E_F): 0.401 states/eV/atom

extended XYZ file:
```
80
Lattice="-7.055 -1.634 -13.354 9.697 -11.513 2.046 -10.276 0.014 11.188" Properties=species:S:1:pos:R:3 pbc="T T T"
Ge -0.104 -10.267 8.512
Ge -0.185 -10.063 -8.751
Ge -8.480 -5.328 0.812
Ge -4.405 -1.842 1.113
Ge -7.530 -2.866 -8.632
Ge -5.839 -3.894 -3.639
Ge -4.695 -7.592 7.730
Ge 0.846 -7.805 -0.932
Ge -7.449 -3.070 8.632
Ge -3.229 -11.291 -1.233
Ge -2.939 -5.541 -7.850
Ge -1.795 -9.239 3.519
Pb -4.984 -6.205 -5.310
Pb 2.424 -12.113 -8.500
Pb -1.840 -7.429 8.559
Pb 2.699 -8.325 -3.646
Pb -12.274 -2.238 -4.824
Pb -2.734 -8.043 -9.451
Pb -3.172 -3.597 -5.607
Pb 2.276 -4.880 -0.246
Pb -7.356 -2.223 1.216
Pb -3.909 -9.388 0.954
Pb -6.152 -11.114 -1.770
Pb -1.055 -8.048 -6.739
Pb -11.440 -5.133 0.552
Pb -2.650 -6.927 5.190
Pb 4.640 -10.895 4.704
Pb -5.854 -1.505 -1.863
Pb -4.900 -5.090 9.331
Pb -5.649 -4.887 1.619
Pb 3.806 -8.000 -0.672
Pb -1.313 -7.104 1.501
Pb -8.290 -7.552 2.783
Pb -3.725 -3.745 -1.074
Pb 6.900 -10.522 2.485
Pb -9.910 -8.253 0.126
Pb -8.543 -3.742 -1.707
Pb -7.738 -1.353 6.217
Pb -10.058 -1.020 8.380
Pb -4.313 -11.163 -4.376
Pb 0.655 -5.581 -2.902
Pb -4.556 -2.764 -8.714
Pb -5.794 -5.704 -8.679
Pb 0.281 -8.639 6.049
Pb -3.321 -1.970 4.256
Pb -1.780 -11.628 1.744
Pb -6.196 -1.838 -5.762
Pb -6.322 -6.029 -1.621
Pb -3.079 -10.368 8.594
Pb -4.462 -9.536 5.487
Pb 0.104 -11.780 -6.336
Pb 0.909 -9.391 1.587
Pb -14.534 -2.611 -2.605
Pb -6.579 -5.085 6.619
Pb -1.985 -8.246 -1.739
Pb -1.482 -2.019 1.650
Pb -0.278 -10.910 -1.336
Pb -7.915 -4.494 -6.169
Pb -10.333 -4.807 3.526
Pb -1.438 -11.295 5.643
Mg 0.000 0.000 0.000
Mg -7.820 -8.615 -2.015
Mg 5.437 -10.481 -0.150
Mg 1.507 -11.092 -3.759
Mg -1.506 -3.489 -3.098
Mg -4.550 -4.717 4.421
Mg -8.666 -0.810 -1.083
Mg -5.138 0.007 5.594
Mg -3.527 -0.817 -6.677
Mg -3.084 -8.416 -4.541
Mg 4.849 -5.756 1.023
Mg -9.141 -2.041 3.639
Mg -0.290 -5.749 6.617
Mg -6.128 -9.644 2.978
Mg -3.817 -6.566 -0.060
Mg -10.171 -4.299 -4.181
Mg -13.071 -2.652 0.030
Mg 0.185 -4.518 1.895
Mg 2.537 -8.834 4.061
Mg 1.321 -6.574 -5.654
```

Record 23
An optimized crystal structure of Mg2GePb. Source: Alexandria via LeMat-Bulk, functional PBE.

## Properties
- Density: 5.41 g cm⁻³
- Energy of formation from the pure elements: -0.2 eV per formula unit
- Raw total energy: -2.9397 eV per atom
- Symmetry: R3m (160)
- DOS(E_F): 0.388 states/eV/atom

extended XYZ file:
```
4
Lattice="-4.236 -0.788 -0.816 -1.252 -1.353 -3.979 -1.090 -6.473 0.128" Properties=species:S:1:pos:R:3 pbc="T T T"
Mg -1.701 -1.713 -1.299
Mg -1.221 -5.452 -0.178
Ge -3.651 -1.491 -3.178
Pb -3.295 -4.266 -2.346
```